1.
Below is crystalline Nd6DyY12 at its relaxed geometry, with properties calculated at the PBE level.

Summary:
ΔE_f: 0.2065 eV/atom
Space group: R-3m
ΔE to the lowest computed polymorph: 90.1 meV/atom

Lattice parameters (Å, degrees): 8.8110 8.8110 8.8110 99.10 99.10 99.10
Sites, in units of the cell vectors:
1 Nd 0.1583 0.5969 0.5969
2 Nd 0.4031 0.4031 0.8417
3 Nd 0.4031 0.8417 0.4031
4 Nd 0.5969 0.1583 0.5969
5 Nd 0.5969 0.5969 0.1583
6 Nd 0.8417 0.4031 0.4031
7 Dy 0.5000 0.5000 0.5000
8 Y 0.0000 0.2578 0.7422
9 Y 0.0000 0.7422 0.2578
10 Y 0.1470 0.1470 0.4189
11 Y 0.1470 0.4189 0.1470
12 Y 0.2578 0.0000 0.7422
13 Y 0.2578 0.7422 0.0000
14 Y 0.4189 0.1470 0.1470
15 Y 0.5811 0.8530 0.8530
16 Y 0.7422 0.0000 0.2578
17 Y 0.7422 0.2578 0.0000
18 Y 0.8530 0.5811 0.8530
19 Y 0.8530 0.8530 0.5811

2.
Below is crystalline Nd2Dy7Y3 at its relaxed geometry, with properties calculated at the PBE level.

Summary:
ΔE_f: 0.0842 eV/atom
Space group: P2/m
ΔE to the lowest computed polymorph: 9.3 meV/atom

Lattice parameters (Å, degrees): 5.8022 3.6052 18.7586 90.00 93.61 90.00
Sites, in units of the cell vectors:
1 Nd 0.2076 0.0000 0.2938
2 Nd 0.7924 0.0000 0.7062
3 Dy 0.1834 0.5000 0.1423
4 Dy 0.2420 0.0000 0.4622
5 Dy 0.3154 0.0000 0.8254
6 Dy 0.5000 0.5000 0.0000
7 Dy 0.6846 0.0000 0.1746
8 Dy 0.7580 0.0000 0.5378
9 Dy 0.8166 0.5000 0.8577
10 Y 0.0000 0.0000 0.0000
11 Y 0.2780 0.5000 0.6306
12 Y 0.7220 0.5000 0.3694